A plane-wave DFT calculation with PBE-GGA was carried out for crystalline PaBiPbO6 at its relaxed geometry.

Output
- Magnetic moment: 0.00 μB per formula unit
- Energy: -7.09 eV/atom

Cell and atoms, written as CIF:
```
data_PaBiPbO6
_chemical_formula_sum 'Pa2 Bi2 Pb2 O12'
_cell_length_a 5.8230
_cell_length_b 5.8230
_cell_length_c 10.6005
_cell_angle_alpha 90.00
_cell_angle_beta 90.00
_cell_angle_gamma 120.00
_space_group_name_H-M_alt 'P -3 1 c'
_space_group_IT_number 163
_space_group_name_Hall '-P 3 2c'
loop_
_atom_site_label
_atom_site_type_symbol
_atom_site_fract_x
_atom_site_fract_y
_atom_site_fract_z
Pa1 Pa 0.3333 0.6667 0.2500
Bi1 Bi 0.3333 0.6667 0.7500
Pb1 Pb 0.0000 0.0000 0.0000
O1 O 0.0070 0.3689 0.6410
```

A plane-wave DFT calculation with PBE-GGA was carried out for crystalline PaBiPdO6 at its relaxed geometry.

Output
- Magnetic moment: 0.00 μB per formula unit
- Energy: -7.19 eV/atom

Cell and atoms, written as CIF:
```
data_PaBiPdO6
_chemical_formula_sum 'Pa2 Bi2 Pd2 O12'
_cell_length_a 5.4949
_cell_length_b 5.4949
_cell_length_c 10.1489
_cell_angle_alpha 90.00
_cell_angle_beta 90.00
_cell_angle_gamma 120.00
_space_group_name_H-M_alt 'P -3 1 c'
_space_group_IT_number 163
_space_group_name_Hall '-P 3 2c'
loop_
_atom_site_label
_atom_site_type_symbol
_atom_site_fract_x
_atom_site_fract_y
_atom_site_fract_z
Pa1 Pa 0.3333 0.6667 0.2500
Bi1 Bi 0.0000 0.0000 0.0000
Pd1 Pd 0.3333 0.6667 0.7500
O1 O 0.0186 0.3623 0.6367
```

A plane-wave DFT calculation with PBE-GGA was carried out for crystalline PaBiPd2O8 at its relaxed geometry.

Output
- Magnetic moment: 0.00 μB per formula unit
- Energy: -6.47 eV/atom

Cell and atoms, written as CIF:
```
data_PaBiPd2O8
_chemical_formula_sum 'Pa2 Bi2 Pd4 O16'
_cell_length_a 7.075
_cell_length_b 7.075
_cell_length_c 7.080
_cell_angle_alpha 90.00
_cell_angle_beta 90.00
_cell_angle_gamma 90.00
_space_group_name_H-M_alt 'I -4 m 2'
_space_group_IT_number 119
_space_group_name_Hall 'I -4 -2'
loop_
_atom_site_label
_atom_site_type_symbol
_atom_site_fract_x
_atom_site_fract_y
_atom_site_fract_z
Pa1 Pa 0.000 0.000 0.000
Bi1 Bi 0.000 0.500 0.250
Pd1 Pd 0.000 0.000 0.500
Pd2 Pd 0.000 0.500 0.750
O1 O 0.000 0.171 0.282
O2 O 0.000 0.317 0.959
```

A plane-wave DFT calculation with PBE-GGA was carried out for crystalline Pa2BiPdO8 at its relaxed geometry.

Output
- Magnetic moment: 1.05 μB per formula unit
- Energy: -7.61 eV/atom

Cell and atoms, written as CIF:
```
data_Pa2BiPdO8
_chemical_formula_sum 'Pa2 Bi1 Pd1 O8'
_cell_length_a 5.8039
_cell_length_b 5.8039
_cell_length_c 5.9369
_cell_angle_alpha 90.00
_cell_angle_beta 90.00
_cell_angle_gamma 120.00
_space_group_name_H-M_alt 'P -3'
_space_group_IT_number 147
_space_group_name_Hall '-P 3'
loop_
_atom_site_label
_atom_site_type_symbol
_atom_site_fract_x
_atom_site_fract_y
_atom_site_fract_z
Pa1 Pa 0.3333 0.6667 0.3794
Bi1 Bi 0.0000 0.0000 0.0000
Pd1 Pd 0.0000 0.0000 0.5000
O1 O 0.0621 0.3371 0.6796
O2 O 0.3333 0.6667 0.0620
```

A plane-wave DFT calculation with PBE-GGA was carried out for crystalline PaBi2PdO6 at its relaxed geometry.

Output
- Magnetic moment: 0.99 μB per formula unit
- Energy: -6.92 eV/atom

Cell and atoms, written as CIF:
```
data_PaBi2PdO6
_chemical_formula_sum 'Pa1 Bi2 Pd1 O6'
_cell_length_a 5.811
_cell_length_b 6.188
_cell_length_c 6.264
_cell_angle_alpha 117.16
_cell_angle_beta 92.04
_cell_angle_gamma 117.13
_space_group_name_H-M_alt 'P 1'
_space_group_IT_number 1
_space_group_name_Hall 'P 1'
loop_
_atom_site_label
_atom_site_type_symbol
_atom_site_fract_x
_atom_site_fract_y
_atom_site_fract_z
Pa1 Pa 0.000 0.000 0.000
Bi1 Bi 0.240 0.421 0.768
Bi2 Bi 0.708 0.381 0.299
Pd1 Pd 0.284 0.764 0.408
O1 O 0.139 0.989 0.669
O2 O 0.308 0.952 0.152
O3 O 0.369 0.461 0.153
O4 O 0.651 0.552 0.734
O5 O 0.783 0.160 0.925
O6 O 0.928 0.170 0.362
```

A plane-wave DFT calculation with PBE-GGA was carried out for crystalline PaBi2PdO8 at its relaxed geometry.

Output
- Magnetic moment: 0.00 μB per formula unit
- Energy: -6.74 eV/atom

Cell and atoms, written as CIF:
```
data_PaBi2PdO8
_chemical_formula_sum 'Pa2 Bi4 Pd2 O16'
_cell_length_a 7.250
_cell_length_b 7.306
_cell_length_c 6.802
_cell_angle_alpha 90.00
_cell_angle_beta 90.00
_cell_angle_gamma 90.00
_space_group_name_H-M_alt 'C m m m'
_space_group_IT_number 65
_space_group_name_Hall '-C 2 2'
loop_
_atom_site_label
_atom_site_type_symbol
_atom_site_fract_x
_atom_site_fract_y
_atom_site_fract_z
Pa1 Pa 0.000 0.000 0.000
Bi1 Bi 0.000 0.500 0.262
Pd1 Pd 0.000 0.000 0.500
O1 O 0.000 0.181 0.255
O2 O 0.195 0.500 0.000
O3 O 0.219 0.500 0.500
```

A plane-wave DFT calculation with PBE-GGA was carried out for crystalline Pm2PaBiO8 at its relaxed geometry.

Output
- Magnetic moment: 0.00 μB per formula unit
- Energy: -7.96 eV/atom

Cell and atoms, written as CIF:
```
data_Pm2PaBiO8
_chemical_formula_sum 'Pm2 Pa1 Bi1 O8'
_cell_length_a 5.549
_cell_length_b 3.782
_cell_length_c 8.057
_cell_angle_alpha 90.00
_cell_angle_beta 95.35
_cell_angle_gamma 90.00
_space_group_name_H-M_alt 'P 1 2/m 1'
_space_group_IT_number 10
_space_group_name_Hall '-P 2y'
loop_
_atom_site_label
_atom_site_type_symbol
_atom_site_fract_x
_atom_site_fract_y
_atom_site_fract_z
Pm1 Pm 0.003 0.000 0.246
Pa1 Pa 0.500 0.500 0.000
Bi1 Bi 0.500 0.500 0.500
O1 O 0.239 0.500 0.783
O2 O 0.264 0.000 0.522
O3 O 0.267 0.000 0.020
O4 O 0.289 0.500 0.266
```

A plane-wave DFT calculation with PBE-GGA was carried out for crystalline PmPa2BiO8 at its relaxed geometry.

Output
- Magnetic moment: 0.00 μB per formula unit
- Energy: -8.77 eV/atom

Cell and atoms, written as CIF:
```
data_PmPa2BiO8
_chemical_formula_sum 'Pm1 Pa2 Bi1 O8'
_cell_length_a 3.857
_cell_length_b 5.548
_cell_length_c 7.719
_cell_angle_alpha 90.00
_cell_angle_beta 90.00
_cell_angle_gamma 90.00
_space_group_name_H-M_alt 'P m m m'
_space_group_IT_number 47
_space_group_name_Hall '-P 2 2'
loop_
_atom_site_label
_atom_site_type_symbol
_atom_site_fract_x
_atom_site_fract_y
_atom_site_fract_z
Pm1 Pm 0.000 0.000 0.000
Pa1 Pa 0.500 0.500 0.249
Bi1 Bi 0.000 0.000 0.500
O1 O 0.000 0.268 0.248
O2 O 0.500 0.267 0.000
O3 O 0.500 0.270 0.500
```

A plane-wave DFT calculation with PBE-GGA was carried out for crystalline PmPaBi2O8 at its relaxed geometry.

Output
- Magnetic moment: 0.00 μB per formula unit
- Energy: -7.26 eV/atom

Cell and atoms, written as CIF:
```
data_PmPaBi2O8
_chemical_formula_sum 'Pm2 Pa2 Bi4 O16'
_cell_length_a 7.391
_cell_length_b 7.391
_cell_length_c 7.400
_cell_angle_alpha 90.00
_cell_angle_beta 90.00
_cell_angle_gamma 90.00
_space_group_name_H-M_alt 'I -4 m 2'
_space_group_IT_number 119
_space_group_name_Hall 'I -4 -2'
loop_
_atom_site_label
_atom_site_type_symbol
_atom_site_fract_x
_atom_site_fract_y
_atom_site_fract_z
Pm1 Pm 0.000 0.000 0.000
Pa1 Pa 0.000 0.500 0.750
Bi1 Bi 0.000 0.000 0.500
Bi2 Bi 0.000 0.500 0.250
O1 O 0.000 0.206 0.718
O2 O 0.000 0.317 0.042
```

A plane-wave DFT calculation with PBE-GGA was carried out for crystalline PmPaBiO6 at its relaxed geometry.

Output
- Magnetic moment: 0.16 μB per formula unit
- Energy: -7.91 eV/atom

Cell and atoms, written as CIF:
```
data_PmPaBiO6
_chemical_formula_sum 'Pm2 Pa2 Bi2 O12'
_cell_length_a 5.8431
_cell_length_b 5.8431
_cell_length_c 9.9529
_cell_angle_alpha 90.00
_cell_angle_beta 90.00
_cell_angle_gamma 120.00
_space_group_name_H-M_alt 'P -3 1 c'
_space_group_IT_number 163
_space_group_name_Hall '-P 3 2c'
loop_
_atom_site_label
_atom_site_type_symbol
_atom_site_fract_x
_atom_site_fract_y
_atom_site_fract_z
Pm1 Pm 0.0000 0.0000 0.0000
Pa1 Pa 0.3333 0.6667 0.2500
Bi1 Bi 0.3333 0.6667 0.7500
O1 O 0.0101 0.3475 0.1339
```

A plane-wave DFT calculation with PBE-GGA was carried out for crystalline PrPa2BiO8 at its relaxed geometry.

Output
- Magnetic moment: 0.00 μB per formula unit
- Energy: -8.75 eV/atom

Cell and atoms, written as CIF:
```
data_PrPa2BiO8
_chemical_formula_sum 'Pr1 Pa2 Bi1 O8'
_cell_length_a 3.869
_cell_length_b 5.589
_cell_length_c 7.735
_cell_angle_alpha 90.00
_cell_angle_beta 90.00
_cell_angle_gamma 90.00
_space_group_name_H-M_alt 'P m m m'
_space_group_IT_number 47
_space_group_name_Hall '-P 2 2'
loop_
_atom_site_label
_atom_site_type_symbol
_atom_site_fract_x
_atom_site_fract_y
_atom_site_fract_z
Pr1 Pr 0.000 0.000 0.000
Pa1 Pa 0.500 0.500 0.250
Bi1 Bi 0.000 0.000 0.500
O1 O 0.000 0.270 0.251
O2 O 0.500 0.270 0.500
O3 O 0.500 0.271 0.000
```

A plane-wave DFT calculation with PBE-GGA was carried out for crystalline PaBi2PtO8 at its relaxed geometry.

Output
- Magnetic moment: 0.00 μB per formula unit
- Energy: -6.85 eV/atom

Cell and atoms, written as CIF:
```
data_PaBi2PtO8
_chemical_formula_sum 'Pa1 Bi2 Pt1 O8'
_cell_length_a 5.162
_cell_length_b 6.814
_cell_length_c 5.162
_cell_angle_alpha 90.00
_cell_angle_beta 90.78
_cell_angle_gamma 90.00
_space_group_name_H-M_alt 'P 1 2/m 1'
_space_group_IT_number 10
_space_group_name_Hall '-P 2y'
loop_
_atom_site_label
_atom_site_type_symbol
_atom_site_fract_x
_atom_site_fract_y
_atom_site_fract_z
Pa1 Pa 0.000 0.000 0.000
Bi1 Bi 0.500 0.263 0.500
Pt1 Pt 0.000 0.500 0.000
O1 O 0.178 0.260 0.823
O2 O 0.277 0.500 0.279
O3 O 0.301 0.000 0.302
```

Which value of energy does entry 1 give?
-7.09 eV/atom